1.
DFT (PBE-GGA) results for a relaxed RbPd6Pb6 crystal.

Summary:
Energy of formation: -0.1921 eV per atom
Calculated density: 11.27 g cm⁻³
Crystal system: orthorhombic
Calculated total energy: -4.375 eV per atom

Geometry as POSCAR:
```
RbPd6Pb6
1.0
-2.9544 4.7665 5.1450
2.9544 -4.7665 5.1450
2.9544 4.7665 -5.1450
Rb Pd Pb
1 6 6
Direct
0.0000 0.0000 0.0000
0.0000 0.0000 0.5000
0.0000 0.5000 0.0000
0.2462 0.5000 0.7462
0.5000 0.0000 0.0000
0.5000 0.5000 0.5000
0.7538 0.5000 0.2538
0.1748 0.6748 0.5000
0.3396 0.3396 0.0000
0.3406 0.0000 0.3406
0.6594 0.0000 0.6594
0.6604 0.6604 0.0000
0.8252 0.3252 0.5000
```

2.
DFT (PBE-GGA) results for a relaxed AcNpN4 crystal.

Summary:
Calculated density: 10.13 g cm⁻³
Crystal system: tetragonal
Calculated total energy: -8.818 eV per atom

Geometry as POSCAR:
```
AcNpN4
1.0
3.7913 0.0000 0.0000
0.0000 3.7913 0.0000
0.0000 0.0000 5.9329
Ac Np N
1 1 4
Direct
0.0000 0.0000 0.0000
0.5000 0.5000 0.5000
0.0000 0.5000 0.2949
0.0000 0.5000 0.7051
0.5000 0.0000 0.2949
0.5000 0.0000 0.7051
```

3.
DFT (PBE-GGA) results for a relaxed Ti5Nb2Fe2Mo crystal.

Summary:
Energy of formation: -0.0515 eV per atom
Calculated density: 6.62 g cm⁻³
Crystal system: tetragonal
Calculated total energy: -8.789 eV per atom

Geometry as POSCAR:
```
Ti5Nb2Fe2Mo
1.0
10.0952 0.0000 0.0000
0.0000 10.0952 0.0000
0.0000 0.0000 3.1166
Ti Nb Fe Mo
10 4 4 2
Direct
0.0000 0.5000 0.0000
0.0562 0.2049 0.0000
0.2049 0.9438 0.0000
0.2951 0.4438 0.0000
0.4438 0.7049 0.0000
0.5000 0.0000 0.0000
0.5562 0.2951 0.0000
0.7049 0.5562 0.0000
0.7951 0.0562 0.0000
0.9438 0.7951 0.0000
0.1793 0.6793 0.5000
0.3207 0.1793 0.5000
0.6793 0.8207 0.5000
0.8207 0.3207 0.5000
0.1271 0.3729 0.5000
0.3729 0.8729 0.5000
0.6271 0.1271 0.5000
0.8729 0.6271 0.5000
0.0000 0.0000 0.5000
0.5000 0.5000 0.5000
```

4.
DFT (PBE-GGA) results for a relaxed LiHo6Se8 crystal.

Summary:
Calculated density: 7.29 g cm⁻³
Crystal system: cubic
Calculated total energy: -5.597 eV per atom

Geometry as POSCAR:
```
LiHo6Se8
1.0
0.0000 5.7018 5.7018
5.7018 0.0000 5.7018
5.7018 5.7018 0.0000
Li Ho Se
1 6 8
Direct
0.0000 0.0000 0.0000
0.0000 0.0000 0.5000
0.0000 0.5000 0.0000
0.0000 0.5000 0.5000
0.5000 0.0000 0.0000
0.5000 0.0000 0.5000
0.5000 0.5000 0.0000
0.2475 0.2475 0.7525
0.2475 0.7525 0.2475
0.2475 0.7525 0.7525
0.2500 0.2500 0.2500
0.7500 0.7500 0.7500
0.7525 0.2475 0.2475
0.7525 0.2475 0.7525
0.7525 0.7525 0.2475
```

Number 1: calculated volume 22.29 Å³/atom. Number 2: calculated volume 14.21 Å³/atom. Number 3: calculated volume 15.88 Å³/atom. Number 4: calculated volume 24.72 Å³/atom.